Density functional theory data (GGA-PBE) for an optimized crystal structure of Er7Zn2Os2.

Calculated values
Symmetry: No. 65
V, Å³ per cell: 290
Formation energy, eV/atom: -0.133

```
Er7Zn2Os2
1.0
-1.502 6.155 -1.784
-6.807 -1.300 1.245
1.188 -0.020 6.474
Os Er Zn
2 7 2
direct
0.295 0.000 0.705
0.705 0.000 0.295
0.000 0.740 0.500
0.500 0.248 0.500
0.500 0.260 0.000
0.000 0.260 0.500
0.000 0.000 0.000
0.500 0.752 0.500
0.500 0.740 0.000
0.169 0.500 0.169
0.831 0.500 0.831
```